# CsGeAuO3 PBE relaxed
data_CsGeAuO3
_chemical_formula_sum 'Cs4 Ge4 Au4 O12'
_space_group_name_H-M_alt 'P n m a'
_space_group_IT_number 62
_cell_length_a 12.7646
_cell_length_b 3.1455
_cell_length_c 10.3033
_cell_angle_alpha 90.00
_cell_angle_beta 90.00
_cell_angle_gamma 90.00
loop_
_space_group_symop_operation_xyz
'x,y,z'
'-x,-y,-z'
'-x+1/2,-y,z+1/2'
'x+1/2,y,-z+1/2'
'x+1/2,-y+1/2,-z+1/2'
'-x+1/2,y+1/2,z+1/2'
'-x,y+1/2,-z'
'x,-y+1/2,z'
loop_
_atom_site_label
_atom_site_type_symbol
_atom_site_fract_x
_atom_site_fract_y
_atom_site_fract_z
Cs1 Cs 0.2464 0.2500 0.1339
Ge1 Ge 0.0344 0.2500 0.3809
Au1 Au 0.0189 0.2500 0.9051
O1 O 0.0497 0.7500 0.7699
O2 O 0.0668 0.2500 0.5572
O3 O 0.1169 0.7500 0.3350
# Calculated total energy in eV/atom: -5.0629
# Crystal system: orthorhombic

=====

# ThMg PBE relaxed
data_ThMg
_chemical_formula_sum 'Th1 Mg1'
_space_group_name_H-M_alt 'P -6 m 2'
_space_group_IT_number 187
_space_group_name_Hall 'P -6 2'
_cell_length_a 3.3585
_cell_length_b 3.3585
_cell_length_c 5.8671
_cell_angle_alpha 90.00
_cell_angle_beta 90.00
_cell_angle_gamma 120.00
loop_
_atom_site_label
_atom_site_type_symbol
_atom_site_fract_x
_atom_site_fract_y
_atom_site_fract_z
Th1 Th 0.0000 0.0000 0.0000
Mg1 Mg 0.6667 0.3333 0.5000
# Calculated total energy in eV/atom: -4.3976
# Crystal system: hexagonal

=====

# RePb2C2 PBE relaxed
data_RePb2C2
_chemical_formula_sum 'Re4 Pb8 C8'
_space_group_name_H-M_alt 'P n m a'
_space_group_IT_number 62
_cell_length_a 6.8178
_cell_length_b 5.4828
_cell_length_c 10.7917
_cell_angle_alpha 90.00
_cell_angle_beta 90.00
_cell_angle_gamma 90.00
loop_
_space_group_symop_operation_xyz
'x,y,z'
'-x,-y,-z'
'-x+1/2,-y,z+1/2'
'x+1/2,y,-z+1/2'
'x+1/2,-y+1/2,-z+1/2'
'-x+1/2,y+1/2,z+1/2'
'-x,y+1/2,-z'
'x,-y+1/2,z'
loop_
_atom_site_label
_atom_site_type_symbol
_atom_site_fract_x
_atom_site_fract_y
_atom_site_fract_z
Re1 Re 0.2332 0.2500 0.1621
Pb1 Pb 0.0585 0.2500 0.7998
Pb2 Pb 0.1640 0.2500 0.4669
C1 C 0.0225 0.7500 0.7529
C2 C 0.2330 0.7500 0.4890
# Calculated total energy in eV/atom: -6.6447
# Crystal system: orthorhombic

=====

# PrAgAsO PBE relaxed
data_PrAgAsO
_chemical_formula_sum 'Pr2 Ag2 As2 O2'
_space_group_name_H-M_alt 'P 4/n m m'
_space_group_IT_number 129
_cell_length_a 5.7139
_cell_length_b 5.7139
_cell_length_c 4.9003
_cell_angle_alpha 90.00
_cell_angle_beta 90.00
_cell_angle_gamma 90.00
loop_
_space_group_symop_operation_xyz
'x,y,z'
'-x,-y,-z'
'-y+1/2,x,z'
'y+1/2,-x,-z'
'-x+1/2,-y+1/2,z'
'x+1/2,y+1/2,-z'
'y,-x+1/2,z'
'-y,x+1/2,-z'
'x+1/2,-y,-z'
'-x+1/2,y,z'
'-y,-x,-z'
'y,x,z'
'-x,y+1/2,-z'
'x,-y+1/2,z'
'y+1/2,x+1/2,-z'
'-y+1/2,-x+1/2,z'
loop_
_atom_site_label
_atom_site_type_symbol
_atom_site_fract_x
_atom_site_fract_y
_atom_site_fract_z
Pr1 Pr 0.2500 0.7500 0.0000
Ag1 Ag 0.2500 0.2500 0.4959
As1 As 0.2500 0.2500 0.9954
O1 O 0.2500 0.7500 0.5000
# Distance to the lowest polymorph of the same formula in eV per atom: 0.706
# Crystal system: tetragonal

=====

# LuSc2Si PBE relaxed
data_LuSc2Si
_chemical_formula_sum 'Lu4 Sc8 Si4'
_space_group_name_H-M_alt 'F -4 3 m'
_space_group_IT_number 216
_space_group_name_Hall 'F -4 2 3'
_cell_length_a 6.9432
_cell_length_b 6.9432
_cell_length_c 6.9432
_cell_angle_alpha 90.00
_cell_angle_beta 90.00
_cell_angle_gamma 90.00
loop_
_atom_site_label
_atom_site_type_symbol
_atom_site_fract_x
_atom_site_fract_y
_atom_site_fract_z
Lu1 Lu 0.0000 0.0000 0.0000
Sc1 Sc 0.0000 0.0000 0.5000
Sc2 Sc 0.2500 0.2500 0.2500
Si1 Si 0.2500 0.2500 0.7500
# Calculated total energy in eV/atom: -5.7713
# Crystal system: cubic